1.
Material: MnAgRu2
Method: DFT, PBE-GGA
State: relaxed

Computed properties:
The value obtained for the energy relative to the lowest polymorph listed for this composition is 0.42 eV/f.u.

Lattice parameters (Å, degrees): 9.0596 2.7860 4.7876 90.00 100.66 90.00
With the nearest neighbours (Å) after each atom.
Atoms (fractional coordinates):
1 Mn 0.0000 0.0000 0.0000  7 Ru 2.63-2.92, 3 Ag 2.67-2.75, 2 Mn 2.79
2 Mn 0.5000 0.5000 0.0000  7 Ru 2.63-2.92, 3 Ag 2.67-2.75, 2 Mn 2.79
3 Ag 0.2549 0.5000 0.2353  3 Mn 2.67-2.75, 7 Ru 2.74-2.87, 2 Ag 2.79
4 Ag 0.7549 0.0000 0.2353  3 Mn 2.67-2.75, 7 Ru 2.74-2.87, 2 Ag 2.79
5 Ru 0.0121 0.5000 0.5388  5 Ru 2.62-2.79, 4 Mn 2.63-2.92, 3 Ag 2.85-2.87
6 Ru 0.2545 0.0000 0.7285  5 Ru 2.62-2.79, 3 Mn 2.74-2.85, 4 Ag 2.74-2.80
7 Ru 0.5121 0.0000 0.5388  5 Ru 2.62-2.79, 4 Mn 2.63-2.92, 3 Ag 2.85-2.87
8 Ru 0.7545 0.5000 0.7285  5 Ru 2.62-2.79, 3 Mn 2.74-2.85, 4 Ag 2.74-2.80


2.
Material: Mn2AgRu
Method: DFT, PBE-GGA
State: relaxed

Lattice parameters (Å, degrees): 3.0810 4.5171 8.6599 90.00 90.00 90.00
With the nearest neighbours (Å) after each atom.
Atoms (fractional coordinates):
1 Mn 0.0000 0.0000 0.2334  2 Ru 2.54, 4 Mn 2.73, 2 Ag 2.78
2 Mn 0.0000 0.0000 0.7666  2 Ru 2.54, 4 Mn 2.73, 2 Ag 2.78
3 Mn 0.5000 0.5000 0.2334  2 Ru 2.54, 4 Mn 2.73, 2 Ag 2.78
4 Mn 0.5000 0.5000 0.7666  2 Ru 2.54, 4 Mn 2.73, 2 Ag 2.78
5 Ag 0.0000 0.5000 0.5000  4 Ag 2.73, 4 Mn 2.78
6 Ag 0.5000 0.0000 0.5000  4 Ag 2.73, 4 Mn 2.78
7 Ru 0.0000 0.5000 0.0000  4 Mn 2.54, 4 Ru 2.73
8 Ru 0.5000 0.0000 0.0000  4 Mn 2.54, 4 Ru 2.73


3.
Material: MnAg2Ru
Method: DFT, PBE-GGA
State: relaxed

Computed properties:
The value obtained for the energy relative to the lowest polymorph listed for this composition is 1.20 eV/f.u.

Lattice parameters (Å, degrees): 2.8637 4.6855 9.6562 90.00 90.00 90.00
With the nearest neighbours (Å) after each atom.
Atoms (fractional coordinates):
1 Mn 0.0000 0.0000 0.0000  6 Mn 2.75-2.86, 4 Ag 2.77
2 Mn 0.5000 0.5000 0.0000  6 Mn 2.75-2.86, 4 Ag 2.77
3 Ag 0.0000 0.5000 0.2460  6 Ag 2.75-2.86, 2 Mn 2.77, 2 Ru 2.84
4 Ag 0.0000 0.5000 0.7540  6 Ag 2.75-2.86, 2 Mn 2.77, 2 Ru 2.84
5 Ag 0.5000 0.0000 0.2460  6 Ag 2.75-2.86, 2 Mn 2.77, 2 Ru 2.84
6 Ag 0.5000 0.0000 0.7540  6 Ag 2.75-2.86, 2 Mn 2.77, 2 Ru 2.84
7 Ru 0.0000 0.0000 0.5000  6 Ru 2.75-2.86, 4 Ag 2.84
8 Ru 0.5000 0.5000 0.5000  6 Ru 2.75-2.86, 4 Ag 2.84


4.
Material: MnAgRu2
Method: DFT, PBE-GGA
State: relaxed

Computed properties:
The value obtained for the energy relative to the lowest polymorph listed for this composition is 1.75 eV/f.u.

Lattice parameters (Å, degrees): 6.8949 6.8949 5.2269 90.00 90.00 90.00
With the nearest neighbours (Å) after each atom.
Atoms (fractional coordinates):
1 Mn 0.0000 0.0000 0.0000  4 Ru 2.26
2 Mn 0.0000 0.5000 0.2500  4 Ru 2.26
3 Mn 0.5000 0.0000 0.7500  4 Ru 2.26
4 Mn 0.5000 0.5000 0.5000  4 Ru 2.26
5 Ag 0.0000 0.0000 0.5000  2 Mn 2.61, 8 Ru 2.82-2.92
6 Ag 0.0000 0.5000 0.7500  2 Mn 2.61, 8 Ru 2.82-2.92
7 Ag 0.5000 0.0000 0.2500  2 Mn 2.61, 8 Ru 2.82-2.92
8 Ag 0.5000 0.5000 0.0000  2 Mn 2.61, 8 Ru 2.82-2.92
9 Ru 0.1903 0.2500 0.1250  2 Mn 2.26
10 Ru 0.2500 0.6903 0.3750  2 Mn 2.26
11 Ru 0.2500 0.8097 0.8750  2 Mn 2.26
12 Ru 0.3097 0.2500 0.6250  2 Mn 2.26
13 Ru 0.6903 0.7500 0.6250  2 Mn 2.26
14 Ru 0.7500 0.1903 0.8750  2 Mn 2.26
15 Ru 0.7500 0.3097 0.3750  2 Mn 2.26
16 Ru 0.8097 0.7500 0.1250  2 Mn 2.26


5.
Material: MnAg2Ru
Method: DFT, PBE-GGA
State: relaxed

Computed properties:
The value obtained for the energy relative to the lowest polymorph listed for this composition is 0.13 eV/f.u.

Lattice parameters (Å, degrees): 2.8372 2.8372 27.3866 90.00 90.00 120.00
With the nearest neighbours (Å) after each atom.
Atoms (fractional coordinates):
1 Mn 0.0000 0.0000 0.0000  3 Ru 2.53, 3 Ag 2.82
2 Mn 0.3333 0.6667 0.6667  3 Ru 2.53, 3 Ag 2.82
3 Mn 0.6667 0.3333 0.3333  3 Ru 2.53, 3 Ag 2.82
4 Ag 0.0000 0.0000 0.2495  3 Mn 2.82, 9 Ag 2.84-2.97
5 Ag 0.0000 0.0000 0.4923  9 Ag 2.84-2.97, 3 Ru 2.93
6 Ag 0.3333 0.6667 0.1590  9 Ag 2.84-2.97, 3 Ru 2.93
7 Ag 0.3333 0.6667 0.9162  3 Mn 2.82, 9 Ag 2.84-2.97
8 Ag 0.6667 0.3333 0.5828  3 Mn 2.82, 9 Ag 2.84-2.97
9 Ag 0.6667 0.3333 0.8256  9 Ag 2.84-2.97, 3 Ru 2.93
10 Ru 0.0000 0.0000 0.7369  3 Mn 2.53
11 Ru 0.3333 0.6667 0.4035  3 Mn 2.53
12 Ru 0.6667 0.3333 0.0702  3 Mn 2.53


6.
Material: MnAg2Ru
Method: DFT, PBE-GGA
State: relaxed

Computed properties:
The value obtained for the energy relative to the lowest polymorph listed for this composition is 0.89 eV/f.u.

Lattice parameters (Å, degrees): 3.8824 3.8824 8.4867 90.00 90.00 90.00
With the nearest neighbours (Å) after each atom.
Atoms (fractional coordinates):
1 Mn 0.0000 0.0000 0.0000  4 Ru 2.75, 8 Ag 2.88
2 Mn 0.5000 0.5000 0.5000  4 Ru 2.75, 8 Ag 2.88
3 Ag 0.0000 0.5000 0.2500  4 Ag 2.75, 4 Mn 2.88, 4 Ru 2.88
4 Ag 0.0000 0.5000 0.7500  4 Ag 2.75, 4 Mn 2.88, 4 Ru 2.88
5 Ag 0.5000 0.0000 0.2500  4 Ag 2.75, 4 Mn 2.88, 4 Ru 2.88
6 Ag 0.5000 0.0000 0.7500  4 Ag 2.75, 4 Mn 2.88, 4 Ru 2.88
7 Ru 0.0000 0.0000 0.5000  4 Mn 2.75, 8 Ag 2.88
8 Ru 0.5000 0.5000 0.0000  4 Mn 2.75, 8 Ag 2.88


7.
Material: MnAgRu2
Method: DFT, PBE-GGA
State: relaxed

Computed properties:
The value obtained for the energy relative to the lowest polymorph listed for this composition is 0.44 eV/f.u.

Lattice parameters (Å, degrees): 2.8120 4.4944 9.3991 90.00 90.00 90.00
With the nearest neighbours (Å) after each atom.
Atoms (fractional coordinates):
1 Mn 0.0000 0.0000 0.0000  4 Ru 2.50, 4 Ag 2.65
2 Mn 0.5000 0.5000 0.5000  4 Ru 2.50, 4 Ag 2.65
3 Ag 0.0000 0.0000 0.5000  4 Mn 2.65, 2 Ag 2.81
4 Ag 0.5000 0.5000 0.0000  4 Mn 2.65, 2 Ag 2.81
5 Ru 0.0000 0.5000 0.2795  2 Mn 2.50, 4 Ru 2.71
6 Ru 0.0000 0.5000 0.7205  2 Mn 2.50, 4 Ru 2.71
7 Ru 0.5000 0.0000 0.2205  2 Mn 2.50, 4 Ru 2.71
8 Ru 0.5000 0.0000 0.7795  2 Mn 2.50, 4 Ru 2.71


8.
Material: MnAg2Ru
Method: DFT, PBE-GGA
State: relaxed

Computed properties:
The value obtained for the energy relative to the lowest polymorph listed for this composition is 0.76 eV/f.u.

Lattice parameters (Å, degrees): 3.8560 3.8560 4.2782 90.00 90.00 90.00
With the nearest neighbours (Å) after each atom.
Atoms (fractional coordinates):
1 Mn 0.0000 0.0000 0.0000  4 Ru 2.73, 8 Ag 2.88
2 Ag 0.0000 0.5000 0.5000  4 Ag 2.73, 4 Mn 2.88, 4 Ru 2.88
3 Ag 0.5000 0.0000 0.5000  4 Ag 2.73, 4 Mn 2.88, 4 Ru 2.88
4 Ru 0.5000 0.5000 0.0000  4 Mn 2.73, 8 Ag 2.88


The evaluated density for the records listed, in turn: 10.21 8.79 9.53 9.76 9.70 9.65 10.20 9.70 g cm⁻³.
The evaluated energy relative to the elements for the records listed, in turn: 355 348 537 687 269 459 359 426 meV/atom.